[1]
Entry from the Alexandria database: NaSrRe2 after structural relaxation (PBE).

Output
DOS at the Fermi energy ... 4.91 states/eV/f.u.
Final energy ... -78.84 eV/cell
Crystal system ... cubic
Theoretical density ... 9.0 Mg/m³

Lattice parameters (Å, degrees): 7.1031 7.1031 7.1031 90.00 90.00 90.00
Space group Fm-3m (No. 225)
Asymmetric unit:
Na 0.0000 0.0000 0.0000
Sr 0.0000 0.0000 0.5000
Re 0.2500 0.2500 0.2500

***

[2]
Entry from the Alexandria database: Na2SrRe after structural relaxation (PBE).

Output
DOS at the Fermi energy ... 3.12 states/eV/f.u.
Final energy ... -47.94 eV/cell
Crystal system ... tetragonal
Theoretical density ... 4.4 Mg/m³

Lattice parameters (Å, degrees): 4.4987 4.4987 24.0987 90.00 90.00 90.00
Space group I-42d (No. 122)
Asymmetric unit:
Na 0.2184 0.2500 0.1250
Sr 0.0000 0.0000 0.5000
Re 0.0000 0.0000 0.0000

***

[3]
Entry from the Alexandria database: NaSr3Re after structural relaxation (PBE).

Output
DOS at the Fermi energy ... 4.41 states/eV/f.u.
Final energy ... -15.50 eV/cell
Crystal system ... cubic
Theoretical density ... 3.7 Mg/m³

Lattice parameters (Å, degrees): 5.9471 5.9471 5.9471 90.00 90.00 90.00
Space group Pm-3m (No. 221)
Asymmetric unit:
Na 0.0000 0.0000 0.0000
Sr 0.0000 0.5000 0.5000
Re 0.5000 0.5000 0.5000

***

> Which value of DOS at the Fermi energy does entry 3 give?

4.41 states/eV/f.u.

***

> Look up the DOS at the Fermi energy of the first one.

4.91 states/eV/f.u.

***

Copy entry 2 word for word.
Entry from the Alexandria database: Na2SrRe after structural relaxation (PBE).

Output
DOS at the Fermi energy ... 3.12 states/eV/f.u.
Final energy ... -47.94 eV/cell
Crystal system ... tetragonal
Theoretical density ... 4.4 Mg/m³

Lattice parameters (Å, degrees): 4.4987 4.4987 24.0987 90.00 90.00 90.00
Space group I-42d (No. 122)
Asymmetric unit:
Na 0.2184 0.2500 0.1250
Sr 0.0000 0.0000 0.5000
Re 0.0000 0.0000 0.0000

***

> Which value of theoretical density does entry 3 give?

3.7 Mg/m³